Entry 1:
DFT (PBE-GGA) results for an optimized crystal structure of MnCrCuIr.

a b c (Å): 4.199 4.199 4.199
angles (deg): 60.00 60.00 60.00
Atoms (fractional coordinates):
Mn (0.750, 0.750, 0.750)
Ir (0.250, 0.250, 0.250)
Cu (0.500, 0.500, 0.500)
Cr (0.000, 0.000, 0.000)

Space group: F-43m
Crystal system: cubic

---

Entry 2:
DFT (PBE-GGA) results for an optimized crystal structure of SrPrHg4.

a b c (Å): 4.047 4.047 10.344
angles (deg): 90.02 90.02 89.99
Atoms (fractional coordinates):
Sr (0.500, 0.500, 0.500)
Pr (0.000, 0.000, 0.000)
Hg (0.500, 0.500, 0.164)
Hg (0.500, 0.500, 0.836)
Hg (0.000, 0.000, 0.678)
Hg (0.000, 0.000, 0.322)

Space group: P4/mmm
Crystal system: tetragonal

---

Entry 3:
DFT (PBE-GGA) results for an optimized crystal structure of TbHoIr.

a b c (Å): 4.804 4.804 4.804
angles (deg): 60.00 60.00 60.00
Atoms (fractional coordinates):
Ir (0.250, 0.250, 0.250)
Tb (0.000, 0.000, 0.000)
Ho (0.500, 0.500, 0.500)

Space group: F-43m
Crystal system: cubic

---

no.,total moment (μB per cell),formation enthalpy at 0 K (eV per atom)
1,1.082,0.06
2,0.346,-0.42
3,0.000,-0.70